# Dy9Al5Se21 | the Alexandria database | PBE | optimized geometry
data_Dy9Al5Se21
_symmetry_space_group_name_H-M 'R 3'
_symmetry_Int_Tables_number 146
_symmetry_space_group_name_Hall 'R 3'
_cell_length_a 17.4906
_cell_length_b 17.4906
_cell_length_c 19.3165
_cell_angle_alpha 90.00
_cell_angle_beta 90.00
_cell_angle_gamma 120.00
loop_
_atom_site_label
_atom_site_fract_x
_atom_site_fract_y
_atom_site_fract_z
Dy1 0.0208 0.1980 0.0000
Dy2 0.0209 0.2025 0.3405
Dy3 0.0229 0.1971 0.6637
Dy4 0.1520 0.6883 0.5069
Dy5 0.1560 0.6830 0.8290
Dy6 0.1590 0.6935 0.1684
Al1 0.0000 0.0000 0.2675
Al2 0.0000 0.0000 0.4517
Al3 0.0000 0.0000 0.7668
Al4 0.0000 0.0000 0.9505
Al5 0.0013 0.6704 0.3076
Al6 0.0047 0.3352 0.8075
Se1 0.9997 0.6684 0.4313
Se2 0.0015 0.3341 0.5978
Se3 0.0068 0.1255 0.2042
Se4 0.0079 0.5475 0.5871
Se5 0.0100 0.1212 0.8647
Se6 0.0141 0.1322 0.5202
Se7 0.0171 0.5487 0.9240
Se8 0.0228 0.5576 0.2561
Se9 0.1210 0.1114 0.3658
Se10 0.1267 0.1175 0.7040
Se11 0.1290 0.3420 0.0905
Se12 0.1310 0.1192 0.0190
Se13 0.1312 0.3561 0.4229
Se14 0.1346 0.3507 0.7540
# E ... -185.67 eV per formula unit
# E_form (uncorrected) ... -1.496 eV/atom
# M_tot ... 0.0 μB per formula unit